Compound: Pr2TmCoO6
Source: Alexandria
Functional: GGA+U
Structure: relaxed

```
Pr2TmCoO6
1.0
5.594 0.000 0.000
0.000 5.754 0.000
-5.467 0.000 8.008
Pr Tm Co O
4 2 2 12
direct
0.233 0.052 0.249 Pr
0.233 0.448 0.749 Pr
0.767 0.552 0.251 Pr
0.767 0.948 0.751 Pr
0.500 0.000 0.000 Tm
0.500 0.500 0.500 Tm
0.000 0.000 0.500 Co
0.000 0.500 0.000 Co
0.137 0.220 0.947 O
0.137 0.280 0.447 O
0.229 0.695 0.950 O
0.229 0.805 0.450 O
0.331 0.030 0.735 O
0.331 0.470 0.235 O
0.669 0.530 0.765 O
0.669 0.970 0.265 O
0.771 0.195 0.550 O
0.771 0.305 0.050 O
0.863 0.720 0.553 O
0.863 0.780 0.053 O
```

## Properties
Space group: P2_1/c (14)
E, eV/atom: -7.66
Density of states at the Fermi level, states/eV/cell: 0.0